No. 1
An optimized crystal structure of GaNi5Ge, computed with PBE.

```
14
Lattice="4.171 -0.182 -0.703 1.151 4.013 -0.703 1.682 1.211 9.669" Properties=species:S:1:pos:R:3 pbc="T T T"
Ni 2.550 2.840 8.136
Ni 4.421 0.357 1.714
Ni 4.792 4.454 7.544
Ni 2.661 0.912 3.302
Ni 2.101 2.517 5.553
Ni 4.454 2.202 0.127
Ni 4.903 2.526 2.710
Ni 4.343 4.131 4.961
Ni 2.583 4.685 6.549
Ni 2.212 0.588 0.719
Ge 2.736 2.698 1.714
Ge 4.268 2.344 6.549
Ga 0.841 0.606 4.834
Ga 0.000 0.000 0.000
```

Properties
Polymorph energy (0 for the lowest one) (kJ per mole of atoms): 0.00

=====

No. 2
An optimized crystal structure of LiLa2Br, computed with PBE.

```
4
Lattice="3.725 0.007 0.000 -1.667 3.331 0.000 0.000 0.000 10.078" Properties=species:S:1:pos:R:3 pbc="T T T"
La 0.000 0.000 9.795
La 1.029 1.669 2.521
Br 1.029 1.669 7.310
Li 0.000 0.000 5.568
```

Properties
Polymorph energy (0 for the lowest one) (kJ per mole of atoms): 0.00
Energy relative to the elements, uncorrected (eV/atom): -0.550

=====

No. 3
An optimized crystal structure of Li2PmZn9, computed with PBE.

```
12
Lattice="-1.149 1.826 4.825 0.213 -3.239 4.171 7.733 1.543 4.152" Properties=species:S:1:pos:R:3 pbc="T T T"
Li 2.525 -0.546 9.492
Li 4.272 0.677 3.656
Zn 1.036 0.752 7.228
Zn 7.394 1.065 7.147
Zn -0.597 -0.935 6.001
Zn 1.731 -1.831 6.895
Zn 5.761 -0.622 5.920
Zn 5.066 1.961 6.254
Zn 1.622 -0.179 4.767
Zn 5.175 0.310 8.381
Zn 3.398 0.065 6.574
Pm 0.000 0.000 0.000
```

Properties
Polymorph energy (0 for the lowest one) (kJ per mole of atoms): 0.00

=====

No. 4
An optimized crystal structure of RbAs2Pt4Pb, computed with PBE.

```
8
Lattice="-0.624 3.104 -2.554 -1.251 -2.606 -2.862 -10.574 0.958 3.748" Properties=species:S:1:pos:R:3 pbc="T T T"
Pt -2.309 1.733 -0.569
Pt -9.202 -0.526 1.609
Pt -8.889 2.329 1.763
Pt -2.622 -1.122 -0.723
As -8.216 0.909 -0.128
As -4.232 0.548 -1.540
Pb 0.000 0.000 0.000
Rb -5.287 0.479 1.874
```

=====

No. 5
An optimized crystal structure of Sm3ZrTl4S8, computed with PBE.

```
16
Lattice="-4.419 -0.629 6.677 -5.875 -5.057 -4.365 7.639 -2.483 -0.009" Properties=species:S:1:pos:R:3 pbc="T T T"
S -3.802 -5.205 1.824
S -5.022 -2.075 3.873
S 0.023 -6.429 1.971
S 1.147 -2.965 0.479
S -1.685 -4.778 -1.566
S -2.678 -1.741 0.332
S 2.366 -6.095 -1.570
S -0.970 -3.392 3.868
Sm 0.882 -3.770 -2.187
Sm -5.147 -2.843 1.156
Sm -1.328 -4.085 1.151
Tl 0.000 0.000 0.000
Tl 3.819 -1.242 -0.005
Tl 1.610 -1.556 3.334
Tl -2.209 -0.315 3.339
Zr -2.938 -2.529 -2.182
```

Properties
Energy relative to the elements, uncorrected (eV/atom): -1.348

=====

No. 6
An optimized crystal structure of CeNdGdAg, computed with PBE.

```
4
Lattice="-5.000 1.491 -1.301 -1.700 -0.439 -5.083 -3.662 -3.718 -1.298" Properties=species:S:1:pos:R:3 pbc="T T T"
Nd 0.000 0.000 0.000
Ag -2.591 -0.667 -1.920
Ce -7.772 -2.000 -5.761
Gd -5.182 -1.333 -3.841
```

=====

Number 1: final energy -5.431 eV per atom, D(E_F) 5.18 states/eV/f.u.. Number 2: final energy -3.911 eV per atom, D(E_F) 1.25 states/eV/f.u.. Number 3: final energy -1.884 eV per atom, D(E_F) 5.01 states/eV/f.u.. Number 4: final energy -5.127 eV per atom, D(E_F) 2.43 states/eV/f.u.. Number 5: final energy -5.423 eV per atom, D(E_F) 5.77 states/eV/f.u.. Number 6: final energy -6.803 eV per atom, D(E_F) 7.81 states/eV/f.u..